1.
! PBE-GGA YHoNO, relaxed; values from VASP
! uncorrected formation energy	-912	kJ/mol of formula units
! total magnetization	0.00	μB/f.u.
! crystal system	trigonal
! D(E_F)	0.255	states/eV per atom
! space group	R3m (160)
&SYSTEM
  ibrav = 0, nat = 4, ntyp = 4
/
ATOMIC_SPECIES
Y 88.91 Y.upf
Ho 164.93 Ho.upf
N 14.01 N.upf
O 16.00 O.upf
CELL_PARAMETERS angstrom
1.711 0.988 5.640
-1.711 0.988 5.640
0.000 -1.976 5.640
ATOMIC_POSITIONS angstrom
Y 0.000 0.000 0.000
Ho 0.000 0.000 8.340
N 0.000 0.000 12.659
O 0.000 0.000 4.148

---

2.
! PBE-GGA PrHo2OsN4, relaxed; values from VASP
! uncorrected formation energy	-744	kJ/mol of formula units
! total magnetization	0.00	μB/f.u.
! crystal system	orthorhombic
! D(E_F)	0.331	states/eV per atom
! space group	Cmcm (63)
&SYSTEM
  ibrav = 0, nat = 16, ntyp = 4
/
ATOMIC_SPECIES
Pr 140.91 Pr.upf
Ho 164.93 Ho.upf
Os 190.23 Os.upf
N 14.01 N.upf
CELL_PARAMETERS angstrom
1.722 -5.861 0.000
1.722 5.861 0.000
0.000 0.000 11.636
ATOMIC_POSITIONS angstrom
Pr 1.722 4.485 8.727
Pr 1.722 -4.485 2.909
Ho 1.722 1.539 6.294
Ho 1.722 1.539 11.159
Ho 1.722 -1.539 0.477
Ho 1.722 -1.539 5.341
Os 1.722 4.167 2.909
Os 1.722 -4.167 8.727
N 0.000 0.000 0.000
N 0.000 0.000 5.818
N 1.722 2.748 1.465
N 1.722 2.748 4.352
N 1.722 0.710 8.727
N 1.722 -0.710 2.909
N 1.722 -2.748 7.283
N 1.722 -2.748 10.170

---

3.
! PBE-GGA HoPN2, relaxed; values from VASP
! uncorrected formation energy	-400	kJ/mol of formula units
! total magnetization	0.00	μB/f.u.
! crystal system	monoclinic
! relative energy among the computed polymorphs	0.00	kcal/mol of atoms
! space group	P2_1/m (11)
&SYSTEM
  ibrav = 0, nat = 8, ntyp = 3
/
ATOMIC_SPECIES
Ho 164.93 Ho.upf
P 30.97 P.upf
N 14.01 N.upf
CELL_PARAMETERS angstrom
3.584 0.000 0.000
0.000 5.693 0.000
-0.016 0.000 6.083
ATOMIC_POSITIONS angstrom
Ho 0.895 1.423 0.885
Ho 2.674 4.270 5.198
P 0.885 1.423 3.969
P 2.683 4.270 2.113
N 0.881 0.099 4.875
N 0.881 2.748 4.875
N 2.687 2.946 1.208
N 2.687 5.594 1.208

---

4.
! PBE-GGA HoP2N4, relaxed; values from VASP
! uncorrected formation energy	-461	kJ/mol of formula units
! total magnetization	0.00	μB/f.u.
! crystal system	triclinic
! D(E_F)	0.000	states/eV per atom
! space group	P1 (1)
&SYSTEM
  ibrav = 0, nat = 14, ntyp = 3
/
ATOMIC_SPECIES
Ho 164.93 Ho.upf
P 30.97 P.upf
N 14.01 N.upf
CELL_PARAMETERS angstrom
5.529 0.000 0.000
-1.451 5.556 0.000
-2.244 -1.412 5.096
ATOMIC_POSITIONS angstrom
Ho 0.000 0.000 0.000
Ho -1.322 1.901 4.218
P -1.698 4.434 2.509
P 1.027 3.262 2.125
P 2.429 0.635 1.716
P 1.158 0.604 4.501
N -0.205 -0.103 3.869
N -0.420 3.353 2.873
N 1.152 1.736 1.420
N 0.725 4.635 1.058
N 0.921 2.102 4.859
N 2.491 0.406 3.412
N 3.741 1.145 0.841
N 2.474 3.465 2.937

---

- Which of these has the highest uncorrected formation energy?
  HoPN2

---

- Which formula does entry 4 have?
  HoP2N4

---

- What is the uncorrected formation energy in the fourth record?
  -461 kJ/mol of formula units

---

- Which value of total magnetization does entry 3 give?
  0.00 μB/f.u.